Here is a relaxed structure of SrMoCl2 from Alexandria via LeMat-Bulk. Energies are from PBE-GGA.

Computed properties:
* formation energy (no corrections): -0.40 eV per atom

Cell lengths 4.186, 4.227, 6.751 Å; angles 71.73, 90.00, 90.00 degrees
Atoms (fractional coordinates):
Mo 0.000 0.301 0.523
Cl 0.500 0.428 0.267
Cl 0.000 0.109 0.907
Sr 0.500 0.661 0.803